CsPtF2: optimized geometry, PBE-GGA.

a = 3.7216 Å, b = 3.7216 Å, c = 23.4122 Å
α = 90.00°, β = 90.00°, γ = 120.00°
Space group R-3m (No. 166, hexagonal axes)
Inequivalent atoms, fractional coordinates:
1 Cs 0.0000 0.0000 0.0000 x3
2 Pt 0.0000 0.0000 0.5000 x3
3 F 0.0000 0.0000 0.4142 x6

Results
The uncorrected formation energy is -5.2 eV per formula unit. The density of states at the Fermi level is 3.3 states/eV per cell. The calculation puts the energy relative to the lowest polymorph listed for this composition at 0 meV/atom. The calculation puts the total energy at -47.41 eV/cell. Its total magnetic moment is 0.0 μB/cell.

AlCdMo2: optimized geometry, PBE-GGA.

a = 2.735 Å, b = 4.203 Å, c = 5.928 Å
α = 90.00°, β = 90.00°, γ = 90.00°
Space group Pmm2 (No. 25)
Inequivalent atoms, fractional coordinates:
1 Al 0.000 0.000 0.000 x1
2 Cd 0.500 0.500 0.258 x1
3 Mo 0.000 0.000 0.539 x1
4 Mo 0.500 0.500 0.759 x1

Results
The density of states at the Fermi level is 3.2 states/eV per cell. The calculation puts the energy relative to the lowest polymorph listed for this composition at 212 meV/atom. For the energy of formation, the calculation gives 313 meV/atom. The calculation puts the total energy at -25.07 eV/cell. Its total magnetic moment is 0.0 μB/cell.

Nb2VN: optimized geometry, PBE-GGA.

a = 7.553 Å, b = 7.553 Å, c = 4.126 Å
α = 90.00°, β = 90.00°, γ = 90.00°
Space group I-42d (No. 122)
Inequivalent atoms, fractional coordinates:
1 Nb 0.118 0.250 0.125 x8
2 V 0.000 0.000 0.500 x4
3 N 0.000 0.000 0.000 x4

Results
The uncorrected formation energy is -1.3 eV per formula unit. The density of states at the Fermi level is 8.9 states/eV per cell. The calculation puts the total energy at -155.58 eV/cell. Its total magnetic moment is 0.0 μB/cell.